Entry from Alexandria: an optimized crystal structure of AcEuYIn (PBE-GGA).

Geometry as POSCAR:
```
AcEuYIn
1.0
8.1243 0.0000 0.0000
0.0000 8.1243 0.0000
0.0000 0.0000 8.1243
Ac Eu Y In
4 4 4 4
direct
0.0000 0.0000 0.0000
0.0000 0.5000 0.5000
0.5000 0.0000 0.5000
0.5000 0.5000 0.0000
0.2500 0.2500 0.7500
0.2500 0.7500 0.2500
0.7500 0.2500 0.2500
0.7500 0.7500 0.7500
0.0000 0.0000 0.5000
0.0000 0.5000 0.0000
0.5000 0.0000 0.0000
0.5000 0.5000 0.5000
0.2500 0.2500 0.2500
0.2500 0.7500 0.7500
0.7500 0.2500 0.7500
0.7500 0.7500 0.2500
```

Properties
- Total magnetization: 30.8 Bohr magnetons per cell
- ΔE_f: -0.12 eV/atom
- Symmetry: No. 216
- Energy: -96.21 eV per cell



Entry from Alexandria: an optimized crystal structure of AcEuIr4 (PBE-GGA).

Geometry as POSCAR:
```
AcEuIr4
1.0
0.0000 3.8900 3.8900
3.8900 0.0000 3.8900
3.8900 3.8900 0.0000
Ac Eu Ir
1 1 4
direct
0.0000 0.0000 0.0000
0.2500 0.2500 0.2500
0.1261 0.6246 0.6246
0.6246 0.1261 0.6246
0.6246 0.6246 0.1261
0.6246 0.6246 0.6246
```

Properties
- Total magnetization: 6.4 Bohr magnetons per cell
- ΔE_f: -0.52 eV/atom
- Symmetry: No. 216
- Energy: -52.93 eV per cell



Entry from Alexandria: an optimized crystal structure of Ac4Eu2Ir (PBE-GGA).

Geometry as POSCAR:
```
Ac4Eu2Ir
1.0
5.8514 0.0000 0.0000
0.0000 5.8514 0.0000
0.0000 0.0000 19.3446
Ac Eu Ir
8 4 2
direct
0.0000 0.0000 0.1529
0.0000 0.0000 0.8471
0.0000 0.5000 0.0000
0.0000 0.5000 0.5000
0.5000 0.0000 0.0000
0.5000 0.0000 0.5000
0.5000 0.5000 0.3471
0.5000 0.5000 0.6529
0.0000 0.0000 0.3513
0.0000 0.0000 0.6487
0.5000 0.5000 0.1487
0.5000 0.5000 0.8513
0.0000 0.0000 0.0000
0.5000 0.5000 0.5000
```

Properties
- Total magnetization: 30.8 Bohr magnetons per cell
- ΔE_f: -0.04 eV/atom
- Symmetry: No. 139
- Energy: -92.20 eV per cell



Entry from Alexandria: an optimized crystal structure of AcEuIr (PBE-GGA).

Geometry as POSCAR:
```
AcEuIr
1.0
3.6987 0.0000 0.0000
0.0000 3.6987 0.0000
0.0000 0.0000 13.8729
Ac Eu Ir
2 2 2
direct
0.0000 0.0000 0.0000
0.5000 0.5000 0.5000
0.0000 0.0000 0.7545
0.5000 0.5000 0.2545
0.0000 0.0000 0.3829
0.5000 0.5000 0.8829
```

Properties
- Total magnetization: 14.1 Bohr magnetons per cell
- ΔE_f: -0.34 eV/atom
- Symmetry: No. 107
- Energy: -48.52 eV per cell
- E above lowest polymorph: 118.7 meV per atom



Entry from Alexandria: an optimized crystal structure of Ac2EuIr (PBE-GGA).

Geometry as POSCAR:
```
Ac2EuIr
1.0
3.7980 0.0000 0.0000
0.0000 3.7980 0.0000
0.0000 0.0000 10.0090
Ac Eu Ir
2 1 1
direct
0.0000 0.0000 0.1726
0.0000 0.0000 0.8274
0.5000 0.5000 0.5000
0.5000 0.5000 0.0000
```

Properties
- Total magnetization: 7.9 Bohr magnetons per cell
- ΔE_f: -0.25 eV/atom
- Symmetry: No. 123
- Energy: -28.35 eV per cell
- E above lowest polymorph: 155.7 meV per atom



Entry from Alexandria: an optimized crystal structure of AcEuIr (PBE-GGA).

Geometry as POSCAR:
```
AcEuIr
1.0
4.3233 0.0000 0.0000
-2.1617 3.7441 0.0000
0.0000 0.0000 6.6341
Ac Eu Ir
1 1 1
direct
0.0000 0.0000 0.0000
0.6667 0.3333 0.5381
0.3333 0.6667 0.7719
```

Properties
- Total magnetization: 7.0 Bohr magnetons per cell
- ΔE_f: -0.44 eV/atom
- Symmetry: No. 156
- Energy: -24.57 eV per cell
- E above lowest polymorph: 16.7 meV per atom



Entry from Alexandria: an optimized crystal structure of Ac2EuIr (PBE-GGA).

Geometry as POSCAR:
```
Ac2EuIr
1.0
4.3273 0.0000 0.0000
-2.1637 3.7476 0.0000
0.0000 0.0000 30.5138
Ac Eu Ir
6 3 3
direct
0.0000 0.0000 0.2193
0.0000 0.0000 0.7807
0.3333 0.6667 0.4474
0.3333 0.6667 0.8859
0.6667 0.3333 0.1141
0.6667 0.3333 0.5526
0.0000 0.0000 0.0000
0.3333 0.6667 0.6667
0.6667 0.3333 0.3333
0.0000 0.0000 0.5000
0.3333 0.6667 0.1667
0.6667 0.3333 0.8333
```

Properties
- Total magnetization: 23.0 Bohr magnetons per cell
- ΔE_f: -0.40 eV/atom
- Symmetry: No. 166
- Energy: -86.91 eV per cell
- E above lowest polymorph: 0.0 meV per atom



Entry from Alexandria: an optimized crystal structure of AcEu3Ir (PBE-GGA).

Geometry as POSCAR:
```
AcEu3Ir
1.0
5.7080 0.0000 0.0000
0.0000 5.7080 0.0000
0.0000 0.0000 5.7080
Ac Eu Ir
1 3 1
direct
0.0000 0.0000 0.0000
0.0000 0.5000 0.5000
0.5000 0.0000 0.5000
0.5000 0.5000 0.0000
0.5000 0.5000 0.5000
```

Properties
- Total magnetization: 21.1 Bohr magnetons per cell
- ΔE_f: -0.14 eV/atom
- Symmetry: No. 221
- Energy: -44.52 eV per cell



Entry from Alexandria: an optimized crystal structure of AcEu2Ir (PBE-GGA).

Geometry as POSCAR:
```
AcEu2Ir
1.0
3.9798 0.0000 0.0000
-1.9899 3.4466 0.0000
0.0000 0.0000 32.6868
Ac Eu Ir
3 6 3
direct
0.0000 0.0000 0.0000
0.3333 0.6667 0.6667
0.6667 0.3333 0.3333
0.0000 0.0000 0.1156
0.0000 0.0000 0.8844
0.3333 0.6667 0.5510
0.3333 0.6667 0.7823
0.6667 0.3333 0.2177
0.6667 0.3333 0.4490
0.0000 0.0000 0.5000
0.3333 0.6667 0.1667
0.6667 0.3333 0.8333
```

Properties
- Total magnetization: 41.7 Bohr magnetons per cell
- ΔE_f: 0.01 eV/atom
- Symmetry: No. 166
- Energy: -100.40 eV per cell
- E above lowest polymorph: 137.2 meV per atom



Entry from Alexandria: an optimized crystal structure of AcEu2Ir (PBE-GGA).

Geometry as POSCAR:
```
AcEu2Ir
1.0
3.6394 0.0000 0.0000
0.0000 3.6394 0.0000
0.0000 0.0000 9.6850
Ac Eu Ir
1 2 1
direct
0.0000 0.0000 0.0000
0.5000 0.5000 0.3299
0.5000 0.5000 0.6701
0.0000 0.0000 0.5000
```

Properties
- Total magnetization: 13.7 Bohr magnetons per cell
- ΔE_f: -0.12 eV/atom
- Symmetry: No. 123
- Energy: -34.02 eV per cell
- E above lowest polymorph: 0.0 meV per atom



Entry from Alexandria: an optimized crystal structure of AcEuIr (PBE-GGA).

Geometry as POSCAR:
```
AcEuIr
1.0
7.2024 0.0000 0.0000
0.0000 7.2024 0.0000
0.0000 0.0000 7.2024
Ac Eu Ir
4 4 4
direct
0.0000 0.0000 0.0000
0.0000 0.5000 0.5000
0.5000 0.0000 0.5000
0.5000 0.5000 0.0000
0.0000 0.0000 0.5000
0.0000 0.5000 0.0000
0.5000 0.0000 0.0000
0.5000 0.5000 0.5000
0.2500 0.2500 0.7500
0.2500 0.7500 0.2500
0.7500 0.2500 0.2500
0.7500 0.7500 0.7500
```

Properties
- Total magnetization: 28.3 Bohr magnetons per cell
- ΔE_f: -0.46 eV/atom
- Symmetry: No. 216
- Energy: -98.47 eV per cell
- E above lowest polymorph: 0.0 meV per atom



Entry from Alexandria: an optimized crystal structure of AcEuIrPb (PBE-GGA).

Geometry as POSCAR:
```
AcEuIrPb
1.0
7.6982 0.0000 0.0000
0.0000 7.6982 0.0000
0.0000 0.0000 7.6982
Ac Eu Ir Pb
4 4 4 4
direct
0.0000 0.0000 0.0000
0.0000 0.5000 0.5000
0.5000 0.0000 0.5000
0.5000 0.5000 0.0000
0.0000 0.0000 0.5000
0.0000 0.5000 0.0000
0.5000 0.0000 0.0000
0.5000 0.5000 0.5000
0.2500 0.2500 0.7500
0.2500 0.7500 0.2500
0.7500 0.2500 0.2500
0.7500 0.7500 0.7500
0.2500 0.2500 0.2500
0.2500 0.7500 0.7500
0.7500 0.2500 0.7500
0.7500 0.7500 0.2500
```

Properties
- Total magnetization: 27.4 Bohr magnetons per cell
- ΔE_f: -0.28 eV/atom
- Symmetry: No. 216
- Energy: -112.23 eV per cell



Entry from Alexandria: an optimized crystal structure of AcEuIrPt (PBE-GGA).

Geometry as POSCAR:
```
AcEuIrPt
1.0
7.3041 0.0000 0.0000
0.0000 7.3041 0.0000
0.0000 0.0000 7.3041
Ac Eu Ir Pt
4 4 4 4
direct
0.0000 0.0000 0.0000
0.0000 0.5000 0.5000
0.5000 0.0000 0.5000
0.5000 0.5000 0.0000
0.0000 0.0000 0.5000
0.0000 0.5000 0.0000
0.5000 0.0000 0.0000
0.5000 0.5000 0.5000
0.2500 0.2500 0.7500
0.2500 0.7500 0.2500
0.7500 0.2500 0.2500
0.7500 0.7500 0.7500
0.2500 0.2500 0.2500
0.2500 0.7500 0.7500
0.7500 0.2500 0.7500
0.7500 0.7500 0.2500
```

Properties
- Total magnetization: 27.1 Bohr magnetons per cell
- ΔE_f: -0.66 eV/atom
- Symmetry: No. 216
- Energy: -127.73 eV per cell



Entry from Alexandria: an optimized crystal structure of AcEuIrRh (PBE-GGA).

Geometry as POSCAR:
```
AcEuIrRh
1.0
7.2270 0.0000 0.0000
0.0000 7.2270 0.0000
0.0000 0.0000 7.2270
Ac Eu Ir Rh
4 4 4 4
direct
0.0000 0.0000 0.0000
0.0000 0.5000 0.5000
0.5000 0.0000 0.5000
0.5000 0.5000 0.0000
0.0000 0.0000 0.5000
0.0000 0.5000 0.0000
0.5000 0.0000 0.0000
0.5000 0.5000 0.5000
0.2500 0.2500 0.2500
0.2500 0.7500 0.7500
0.7500 0.2500 0.7500
0.7500 0.7500 0.2500
0.2500 0.2500 0.7500
0.2500 0.7500 0.2500
0.7500 0.2500 0.2500
0.7500 0.7500 0.7500
```

Properties
- Total magnetization: 26.2 Bohr magnetons per cell
- ΔE_f: -0.39 eV/atom
- Symmetry: No. 216
- Energy: -128.60 eV per cell



Entry from Alexandria: an optimized crystal structure of AcEuSnIr (PBE-GGA).

Geometry as POSCAR:
```
AcEuSnIr
1.0
7.3439 0.0000 0.0000
0.0000 7.3439 0.0000
0.0000 0.0000 7.3439
Ac Eu Sn Ir
4 4 4 4
direct
0.0000 0.0000 0.0000
0.0000 0.5000 0.5000
0.5000 0.0000 0.5000
0.5000 0.5000 0.0000
0.2500 0.2500 0.2500
0.2500 0.7500 0.7500
0.7500 0.2500 0.7500
0.7500 0.7500 0.2500
0.0000 0.0000 0.5000
0.0000 0.5000 0.0000
0.5000 0.0000 0.0000
0.5000 0.5000 0.5000
0.2500 0.2500 0.7500
0.2500 0.7500 0.2500
0.7500 0.2500 0.2500
0.7500 0.7500 0.7500
```

Properties
- Total magnetization: 28.0 Bohr magnetons per cell
- ΔE_f: -0.35 eV/atom
- Symmetry: No. 216
- Energy: -114.62 eV per cell



Entry from Alexandria: an optimized crystal structure of AcEuZnIr (PBE-GGA).

Geometry as POSCAR:
```
AcEuZnIr
1.0
7.3976 0.0000 0.0000
0.0000 7.3976 0.0000
0.0000 0.0000 7.3976
Ac Eu Zn Ir
4 4 4 4
direct
0.0000 0.0000 0.0000
0.0000 0.5000 0.5000
0.5000 0.0000 0.5000
0.5000 0.5000 0.0000
0.0000 0.0000 0.5000
0.0000 0.5000 0.0000
0.5000 0.0000 0.0000
0.5000 0.5000 0.5000
0.2500 0.2500 0.7500
0.2500 0.7500 0.2500
0.7500 0.2500 0.2500
0.7500 0.7500 0.7500
0.2500 0.2500 0.2500
0.2500 0.7500 0.7500
0.7500 0.2500 0.7500
0.7500 0.7500 0.2500
```

Properties
- Total magnetization: 27.8 Bohr magnetons per cell
- ΔE_f: -0.33 eV/atom
- Symmetry: No. 216
- Energy: -103.41 eV per cell